[1]
The following is a DFT calculation (GGA-PBE) of a geometry-optimized ErPu4Th structure.

```
ErPu4Th
1.0
-4.1874 -3.8884 2.2573
0.5872 -6.0409 -0.9550
1.4622 -3.7200 4.6661
Pu Th Er
4 1 1
direct
0.1240 0.6253 0.6253
0.6253 0.6253 0.1240
0.6253 0.1240 0.6253
0.6253 0.6253 0.6253
0.0000 0.0000 0.0000
0.2500 0.2500 0.2500
```

Output
Spin magnetization: 22.5 μB per formula unit
Energy of formation: 0.2061 eV per atom
Total DFT energy (no corrections): -11.35 eV/atom
D(E_F): 25.09 states/eV/f.u.

[2]
The following is a DFT calculation (GGA-PBE) of a geometry-optimized ErPuTh4 structure.

```
ErPuTh4
1.0
4.1741 0.1361 2.6304
1.2851 5.4614 2.3165
2.3170 1.8554 10.1182
Th Er Pu
4 1 1
direct
0.4976 0.5008 0.8346
0.5024 0.4992 0.1654
0.9942 0.0034 0.6693
0.0058 0.9966 0.3307
0.5000 0.5000 0.5000
0.0000 0.0000 0.0000
```

Output
Spin magnetization: 5.7 μB per formula unit
Energy of formation: 0.0658 eV per atom
Total DFT energy (no corrections): -8.03 eV/atom
D(E_F): 11.12 states/eV/f.u.

[3]
The following is a DFT calculation (GGA-PBE) of a geometry-optimized YErPuTh structure.

```
YErPuTh
1.0
-5.0186 0.9016 2.2388
-4.5201 -2.3321 -2.2675
-2.6418 -4.1167 2.6619
Y Pu Th Er
1 1 1 1
direct
0.2500 0.2500 0.2500
0.5000 0.5000 0.5000
0.7500 0.7500 0.7500
0.0000 0.0000 0.0000
```

Output
Spin magnetization: 8.1 μB per formula unit
Energy of formation: 0.2051 eV per atom
Total DFT energy (no corrections): -7.99 eV/atom
D(E_F): 11.84 states/eV/f.u.

[4]
The following is a DFT calculation (GGA-PBE) of a geometry-optimized ErPuThZn structure.

```
ErPuThZn
1.0
-2.6450 -2.8922 -3.5023
1.1350 -5.0979 -0.5914
-3.3991 -3.6570 1.6429
Pu Zn Th Er
1 1 1 1
direct
0.2500 0.2500 0.2500
0.7500 0.7500 0.7500
0.0000 0.0000 0.0000
0.5000 0.5000 0.5000
```

Output
Spin magnetization: 7.0 μB per formula unit
Energy of formation: 0.1184 eV per atom
Total DFT energy (no corrections): -6.78 eV/atom
D(E_F): 15.96 states/eV/f.u.

[5]
The following is a DFT calculation (GGA-PBE) of a geometry-optimized ErPuTl2 structure.

```
ErPuTl2
1.0
3.5516 0.0000 0.0000
1.7758 3.0758 0.0000
1.7758 1.0253 10.4311
Tl Pu Er
2 1 1
direct
0.2522 0.2522 0.2434
0.0812 0.0812 0.7563
0.4995 0.4995 0.5014
0.6670 0.6670 0.9989
```

Output
Spin magnetization: 6.1 μB per formula unit
Energy of formation: -0.0513 eV per atom
Distance to the lowest polymorph of the same formula: 0.110 eV per atom
Total DFT energy (no corrections): -5.96 eV/atom
D(E_F): 10.36 states/eV/f.u.

[6]
The following is a DFT calculation (GGA-PBE) of a geometry-optimized ErPuTl2 structure.

```
ErPuTl2
1.0
5.3793 0.0000 0.0000
2.6896 4.6586 0.0000
2.6896 1.5529 4.3922
Er Tl Pu
1 2 1
direct
0.5000 0.5000 0.5000
0.7500 0.7500 0.7500
0.2500 0.2500 0.2500
0.0000 0.0000 0.0000
```

Output
Spin magnetization: 6.2 μB per formula unit
Energy of formation: -0.1363 eV per atom
Distance to the lowest polymorph of the same formula: 0.025 eV per atom
Total DFT energy (no corrections): -6.04 eV/atom
D(E_F): 10.59 states/eV/f.u.

[7]
The following is a DFT calculation (GGA-PBE) of a geometry-optimized Er2Pu2Tl3 structure.

```
Er2Pu2Tl3
1.0
1.7394 -12.0090 0.0000
1.7394 12.0090 0.0000
0.0000 0.0000 4.2865
Tl Er Pu
3 2 2
direct
0.8520 0.1480 0.0000
0.0000 0.0000 0.0000
0.1480 0.8520 0.0000
0.4244 0.5756 0.5000
0.5756 0.4244 0.5000
0.7190 0.2810 0.5000
0.2810 0.7190 0.5000
```

Output
Spin magnetization: 1.2 μB per formula unit
Energy of formation: 0.0005 eV per atom
Total DFT energy (no corrections): -6.41 eV/atom
D(E_F): 9.88 states/eV/f.u.

[8]
The following is a DFT calculation (GGA-PBE) of a geometry-optimized ErPu3Tl4 structure.

```
ErPu3Tl4
1.0
3.3521 0.0000 0.0000
0.0000 3.3521 0.0000
0.0000 0.0000 19.0681
Tl Pu Er
4 3 1
direct
0.0000 0.0000 0.6268
0.0000 0.0000 0.8798
0.0000 0.0000 0.3732
0.0000 0.0000 0.1202
0.5000 0.5000 0.7539
0.5000 0.5000 0.5000
0.5000 0.5000 0.2461
0.5000 0.5000 0.0000
```

Output
Spin magnetization: 5.6 μB per formula unit
Energy of formation: -0.0964 eV per atom
Total DFT energy (no corrections): -7.22 eV/atom
D(E_F): 21.23 states/eV/f.u.

[9]
The following is a DFT calculation (GGA-PBE) of a geometry-optimized Er5PuTl8 structure.

```
Er5PuTl8
1.0
-4.6020 -4.4699 -4.7962
1.0705 -3.6951 7.0258
-3.6603 7.0375 1.1124
Er Pu Tl
5 1 8
direct
0.0224 0.3626 0.1224
0.5000 0.0000 0.5000
0.3403 0.1000 0.9776
0.7597 0.6374 0.6597
0.8776 0.9000 0.2403
0.2500 0.5000 0.7500
0.6179 0.9273 0.8758
0.3094 0.2579 0.3821
0.6358 0.4117 0.8982
0.1242 0.7421 0.0515
0.9485 0.0727 0.6906
0.1018 0.7376 0.5136
0.7759 0.2624 0.3642
0.4864 0.5883 0.2241
```

Output
Spin magnetization: 6.2 μB per formula unit
Energy of formation: -0.1468 eV per atom
Total DFT energy (no corrections): -4.15 eV/atom
D(E_F): 20.49 states/eV/f.u.

[10]
The following is a DFT calculation (GGA-PBE) of a geometry-optimized ErPu2Tl structure.

```
ErPu2Tl
1.0
-2.0884 -4.6002 1.1859
1.8394 0.2285 4.1256
-3.7094 2.0807 1.5386
Pu Er Tl
2 1 1
direct
0.0000 0.0000 0.5000
0.0000 0.5000 0.0000
0.5000 0.5000 0.5000
0.5000 0.0000 0.0000
```

Output
Spin magnetization: 12.0 μB per formula unit
Energy of formation: -0.0428 eV per atom
Distance to the lowest polymorph of the same formula: 0.000 eV per atom
Total DFT energy (no corrections): -8.94 eV/atom
D(E_F): 10.36 states/eV/f.u.

[11]
The following is a DFT calculation (GGA-PBE) of a geometry-optimized ErPu2Tl3 structure.

```
ErPu2Tl3
1.0
-1.0441 -1.0553 -3.4492
3.5933 -0.6174 -0.8988
-0.9852 -11.1227 3.7013
Tl Pu Er
3 2 1
direct
0.0000 0.0000 0.3425
0.0000 0.0000 0.0000
0.0000 0.0000 0.6575
0.5000 0.5000 0.1710
0.5000 0.5000 0.8290
0.5000 0.5000 0.5000
```

Output
Spin magnetization: 11.9 μB per formula unit
Energy of formation: -0.0856 eV per atom
Total DFT energy (no corrections): -6.81 eV/atom
D(E_F): 19.30 states/eV/f.u.

[12]
The following is a DFT calculation (GGA-PBE) of a geometry-optimized Er5PuTl3 structure.

```
Er5PuTl3
1.0
-0.5775 -6.2048 -2.2426
8.4883 0.5403 -3.6808
-1.0993 -3.0372 8.6865
Tl Er Pu
6 10 2
direct
0.7500 0.6498 0.0000
0.2500 0.0000 0.3502
0.7500 0.3502 0.3502
0.2500 0.6498 0.6498
0.2500 0.3502 0.0000
0.7500 0.0000 0.6498
0.0000 0.3333 0.6667
0.5000 0.3333 0.6667
0.2500 0.0000 0.6848
0.5000 0.6667 0.3333
0.7500 0.3152 0.0000
0.7500 0.0000 0.3152
0.2500 0.6848 0.0000
0.7500 0.6848 0.6848
0.2500 0.3152 0.3152
0.0000 0.6667 0.3333
0.0000 0.0000 0.0000
0.5000 0.0000 0.0000
```

Output
Spin magnetization: 6.8 μB per formula unit
Energy of formation: -0.2296 eV per atom
Total DFT energy (no corrections): -5.15 eV/atom
D(E_F): 9.23 states/eV/f.u.

[13]
The following is a DFT calculation (GGA-PBE) of a geometry-optimized Er2PuTl structure.

```
Er2PuTl
1.0
3.5146 0.0000 0.0000
1.7573 3.0438 0.0000
1.7573 1.0146 10.7418
Er Tl Pu
2 1 1
direct
0.0805 0.0805 0.7584
0.2530 0.2530 0.2411
0.6668 0.6668 0.9995
0.4997 0.4997 0.5010
```

Output
Spin magnetization: 6.5 μB per formula unit
Energy of formation: -0.0287 eV per atom
Distance to the lowest polymorph of the same formula: 0.047 eV per atom
Total DFT energy (no corrections): -6.48 eV/atom
D(E_F): 10.10 states/eV/f.u.

[14]
The following is a DFT calculation (GGA-PBE) of a geometry-optimized ErPu2Tl structure.

```
ErPu2Tl
1.0
5.3992 0.0000 0.0000
2.6996 4.6758 0.0000
2.6996 1.5586 4.4084
Pu Er Tl
2 1 1
direct
0.2500 0.2500 0.2500
0.7500 0.7500 0.7500
0.0000 0.0000 0.0000
0.5000 0.5000 0.5000
```

Output
Spin magnetization: 12.4 μB per formula unit
Energy of formation: 0.1830 eV per atom
Distance to the lowest polymorph of the same formula: 0.226 eV per atom
Total DFT energy (no corrections): -8.72 eV/atom
D(E_F): 14.28 states/eV/f.u.

[15]
The following is a DFT calculation (GGA-PBE) of a geometry-optimized Er2PuTl structure.

```
Er2PuTl
1.0
-2.4925 -2.4401 0.1676
2.4403 -2.4649 0.4044
-0.4281 1.0573 9.0289
Tl Er Pu
1 2 1
direct
0.5000 0.5000 0.0000
0.0000 0.0000 0.7614
0.0000 0.0000 0.2386
0.5000 0.5000 0.5000
```

Output
Spin magnetization: 5.9 μB per formula unit
Energy of formation: -0.0756 eV per atom
Distance to the lowest polymorph of the same formula: 0.000 eV per atom
Total DFT energy (no corrections): -6.53 eV/atom
D(E_F): 9.16 states/eV/f.u.

[16]
The following is a DFT calculation (GGA-PBE) of a geometry-optimized Er2PuTl structure.

```
Er2PuTl
1.0
4.6029 0.0000 0.0000
0.0000 4.8868 0.0000
0.0000 0.0000 4.8868
Er Tl Pu
2 1 1
direct
0.0000 0.5000 0.0000
0.0000 0.0000 0.5000
0.5000 0.0000 0.0000
0.5000 0.5000 0.5000
```

Output
Spin magnetization: 6.8 μB per formula unit
Energy of formation: -0.0589 eV per atom
Distance to the lowest polymorph of the same formula: 0.017 eV per atom
Total DFT energy (no corrections): -6.51 eV/atom
D(E_F): 10.47 states/eV/f.u.

[17]
The following is a DFT calculation (GGA-PBE) of a geometry-optimized Er12PuTl3 structure.

```
Er12PuTl3
1.0
4.8015 0.0000 0.0000
0.0000 4.8015 0.0000
0.0000 0.0000 19.5830
Pu Er Tl
1 12 3
direct
0.0000 0.0000 0.0000
0.5000 0.0000 0.3761
0.5000 0.5000 0.7475
0.5000 0.5000 0.0000
0.5000 0.0000 0.6239
0.0000 0.5000 0.1262
0.5000 0.0000 0.1262
0.5000 0.0000 0.8738
0.0000 0.5000 0.6239
0.0000 0.5000 0.8738
0.5000 0.5000 0.5000
0.0000 0.5000 0.3761
0.5000 0.5000 0.2525
0.0000 0.0000 0.5000
0.0000 0.0000 0.2549
0.0000 0.0000 0.7451
```

Output
Spin magnetization: 6.3 μB per formula unit
Energy of formation: -0.1015 eV per atom
Total DFT energy (no corrections): -4.86 eV/atom
D(E_F): 24.37 states/eV/f.u.

[18]
The following is a DFT calculation (GGA-PBE) of a geometry-optimized ErPu2Tl9 structure.

```
ErPu2Tl9
1.0
4.7741 0.0000 0.0000
0.0000 4.7741 0.0000
0.0000 0.0000 14.3183
Tl Pu Er
9 2 1
direct
0.5000 0.0000 0.5000
0.5000 0.5000 0.6651
0.0000 0.5000 0.8352
0.5000 0.5000 0.0000
0.5000 0.5000 0.3349
0.0000 0.5000 0.5000
0.5000 0.0000 0.1648
0.0000 0.5000 0.1648
0.5000 0.0000 0.8352
0.0000 0.0000 0.3306
0.0000 0.0000 0.6694
0.0000 0.0000 0.0000
```

Output
Spin magnetization: 11.4 μB per formula unit
Energy of formation: -0.0885 eV per atom
Total DFT energy (no corrections): -4.63 eV/atom
D(E_F): 29.74 states/eV/f.u.

[19]
The following is a DFT calculation (GGA-PBE) of a geometry-optimized Er3PuTl4 structure.

```
Er3PuTl4
1.0
3.5384 0.0000 0.0000
0.0000 3.5384 0.0000
0.0000 0.0000 17.2009
Tl Er Pu
4 3 1
direct
0.0000 0.0000 0.3772
0.0000 0.0000 0.6228
0.0000 0.0000 0.1305
0.0000 0.0000 0.8695
0.5000 0.5000 0.5000
0.5000 0.5000 0.2542
0.5000 0.5000 0.7458
0.5000 0.5000 0.0000
```

Output
Spin magnetization: 5.5 μB per formula unit
Energy of formation: -0.2319 eV per atom
Total DFT energy (no corrections): -4.92 eV/atom
D(E_F): 11.72 states/eV/f.u.

[20]
The following is a DFT calculation (GGA-PBE) of a geometry-optimized Er2PuTl structure.

```
Er2PuTl
1.0
3.4875 0.0000 0.0000
1.7438 3.0203 0.0000
1.7438 1.0068 10.8162
Er Pu Tl
2 1 1
direct
0.2525 0.2525 0.2426
0.7475 0.7475 0.7574
0.5000 0.5000 0.5000
0.0000 0.0000 0.0000
```

Output
Spin magnetization: 6.1 μB per formula unit
Energy of formation: -0.0274 eV per atom
Distance to the lowest polymorph of the same formula: 0.048 eV per atom
Total DFT energy (no corrections): -6.48 eV/atom
D(E_F): 11.14 states/eV/f.u.